First-principles (PBE+U) data for a relaxed RbVIO2 crystal, as listed in Alexandria.

CIF file:
```
data_RbVIO2
_chemical_formula_sum 'Rb1 V1 I1 O2'
_cell_length_a 4.482
_cell_length_b 4.482
_cell_length_c 6.709
_cell_angle_alpha 90.00
_cell_angle_beta 90.00
_cell_angle_gamma 90.00
_symmetry_space_group_name_H-M 'P 4/m m m'
_symmetry_Int_Tables_number 123
_symmetry_space_group_name_Hall '-P 4 2'
loop_
_atom_site_label
_atom_site_fract_x
_atom_site_fract_y
_atom_site_fract_z
Rb1 0.000 0.000 0.000
V1 0.500 0.500 0.500
I1 0.000 0.000 0.500
O1 0.000 0.500 0.000
```

Relative energy among the computed polymorphs: 1915.5 meV/atom